Below is Mn2MoRu after structural relaxation, with properties calculated at the PBE level.

Fermi-level density of states   1.108 states/eV/atom
Calculated total energy   -9.462 eV per atom
Symmetry   Cmmm (65)
ΔE_f   0.149 eV/atom

a = 4.517 Å, b = 4.517 Å, c = 2.698 Å
α = 90.00°, β = 90.00°, γ = 106.75°
Atoms (fractional coordinates):
Mn 0.000 0.000 0.000
Mn 0.500 0.500 0.000
Mo 0.500 0.000 0.500
Ru 0.000 0.500 0.500